DFT (PBE) results for a geometry-optimized Cd2HgPd structure.

Structure (extended XYZ):
```
4
Lattice="3.378 0.000 0.000 0.000 3.378 0.000 0.000 0.000 7.020" Properties=species:S:1:pos:R:3 pbc="T T T"
Hg 1.689 1.689 3.510
Pd 1.689 1.689 0.000
Cd 0.000 0.000 5.467
Cd 0.000 0.000 1.553
```

Summary:
Formation energy from the elements ... -0.72 eV/f.u.
Mass density ... 11.02 Mg/m³
Symmetry ... P4/mmm (123)